1.
A crystal of LiMg16Al12 relaxed with PBEsol, computed with meta-GGA SCAN.

Structure (extended XYZ):
```
29
Lattice="-6.919 -0.279 -5.755 -3.125 -0.405 8.434 4.563 7.706 -1.151" Properties=species:S:1:pos:R:3 pbc="T T T"
Li -5.540 1.774 1.497
Mg -0.744 5.219 0.246
Mg -8.381 1.975 2.259
Mg -0.003 0.013 0.001
Mg -3.596 4.604 1.003
Mg -4.085 -0.309 3.208
Mg -3.195 2.672 3.261
Mg 1.753 4.504 1.966
Mg 3.474 7.559 1.767
Mg -5.850 1.852 4.596
Mg -0.993 4.910 3.339
Mg -2.505 4.961 -2.316
Mg -7.355 1.902 -1.032
Mg 2.163 7.602 -3.139
Mg 0.558 4.544 -2.504
Mg -4.384 2.712 -1.187
Mg -5.142 -0.274 -0.746
Al 1.875 6.186 -0.446
Al -2.885 1.158 0.782
Al -2.362 7.194 2.078
Al -5.867 4.226 3.013
Al -0.724 2.625 1.630
Al -5.397 1.124 -3.346
Al -0.662 6.104 -4.565
Al 1.732 6.024 4.387
Al -3.002 1.044 5.611
Al -1.429 2.648 -1.008
Al -6.569 4.249 0.388
Al -3.051 7.217 -0.502
```

magnetization	0.00	μB per cell

2.
A crystal of TlReAu2 relaxed with PBEsol, computed with meta-GGA SCAN.

Structure (extended XYZ):
```
4
Lattice="4.060 0.000 0.000 0.000 4.060 0.000 0.000 0.000 4.215" Properties=species:S:1:pos:R:3 pbc="T T T"
Au 0.000 2.030 0.000
Au 2.030 0.000 0.000
Re 2.030 2.030 2.107
Tl 0.000 0.000 2.107
```

magnetization	0.79	μB per cell
polymorph energy (0 for the lowest one)	0.098	eV per atom

3.
A crystal of LiYTl relaxed with PBEsol, computed with meta-GGA SCAN.

Structure (extended XYZ):
```
3
Lattice="-0.186 0.991 -3.373 3.427 -3.133 -1.109 -4.584 -1.328 -0.138" Properties=species:S:1:pos:R:3 pbc="T T T"
Y 0.664 -2.036 -2.471
Tl -1.913 -1.930 -0.461
Li 0.000 0.000 0.000
```

magnetization	0.15	μB per cell
polymorph energy (0 for the lowest one)	0.000	eV per atom

no.,E_form (eV/atom),energy (eV for the cell shown)
1,-0.030,-175.9
2,0.730,-278.8
3,-0.479,-104.0